(1)
Computed, not measured: K2Cu after structural relaxation at the PBE level of DFT.

Lattice parameters (Å, degrees): 6.9004 6.9004 6.9004 106.93 106.93 114.68
Last column: nearest neighbours and their distance in Å.
Positions (direct):
K (0.1890, 0.3110, 0.5000)  4 Cu 3.52
K (0.8110, 0.6890, 0.5000)  4 Cu 3.52
K (0.6890, 0.1890, 0.8779)  4 Cu 3.52
K (0.3110, 0.8110, 0.1221)  4 Cu 3.52
Cu (0.7500, 0.7500, 0.0000)  8 K 3.52, 2 Cu 3.72
Cu (0.2500, 0.2500, 0.0000)  8 K 3.52, 2 Cu 3.72

=====

(2)
Computed, not measured: Sc2FeHg after structural relaxation at the PBE level of DFT.

Lattice parameters (Å, degrees): 5.3341 5.3341 5.3341 134.52 134.52 66.27
Last column: nearest neighbours and their distance in Å.
Positions (direct):
Fe (0.5000, 0.5000, 0.0000)  8 Sc 2.92-3.04, 4 Hg 3.04
Hg (0.7500, 0.2500, 0.5000)  8 Sc 2.92-3.04, 4 Fe 3.04
Sc (0.0000, 0.0000, 0.0000)  4 Fe 2.92, 4 Hg 3.04, 4 Sc 3.04
Sc (0.2500, 0.7500, 0.5000)  4 Hg 2.92, 4 Fe 3.04, 4 Sc 3.04

=====

(3)
Computed, not measured: Tm2MnBePt6 after structural relaxation at the PBE level of DFT.

Lattice parameters (Å, degrees): 5.5765 7.5585 7.5584 43.30 68.35 90.00
Last column: nearest neighbours and their distance in Å.
Positions (direct):
Tm (0.7061, 0.2939, 0.5878)  9 Pt 3.01-3.19, 3 Mn 3.32
Tm (0.2939, 0.7061, 0.4122)  9 Pt 3.01-3.19, 3 Mn 3.32
Mn (0.0000, 0.0000, 0.0000)  6 Pt 2.50
Be (0.5000, 0.5000, 0.0000)  6 Pt 2.20
Pt (0.2591, 0.2357, 0.4818)  1 Be 2.20
Pt (0.7643, 0.7409, 0.9766)  1 Be 2.20
Pt (0.2591, 0.7409, 0.9766)  1 Be 2.20
Pt (0.7409, 0.2591, 0.0234)  1 Be 2.20
Pt (0.2357, 0.2591, 0.0234)  1 Be 2.20
Pt (0.7409, 0.7643, 0.5182)  1 Be 2.20

=====

Number 1: calculated formation energy 0.3091 eV/atom. Number 2: calculated formation energy -0.0604 eV/atom. Number 3: calculated formation energy -0.7436 eV/atom.